PBE+U ScMo3O8, optimized geometry; total magnetic moment = 5.0 μB per cell; DFT total energy = -7.56 eV per atom
1.0
4.551 0.000 0.000
0.028 6.098 0.000
0.149 3.047 5.412
Sc Mo O
1 3 8
Cartesian
0.000 0.000 0.000
2.219 1.476 2.546
2.370 6.118 5.288
2.394 4.471 2.648
1.221 6.032 1.774
1.217 3.136 1.713
1.304 4.596 4.391
1.326 7.637 4.380
3.348 6.032 3.432
3.299 1.562 0.810
3.319 4.552 0.815
3.412 3.087 3.411